# BeAs2WSe, relaxed, DFT GGA-PBE
# - Total energy: -4.981 eV/atom
# - Magnetization: 0.0 μB per cell
# - Formation energy (no corrections): 0.91 eV/atom
data_BeAs2WSe
_space_group_name_H-M_alt 'P 4/m m m'
_space_group_IT_number 123
_space_group_name_Hall '-P 4 2'
_cell_length_a 4.960
_cell_length_b 4.960
_cell_length_c 4.819
_cell_angle_alpha 90.00
_cell_angle_beta 90.00
_cell_angle_gamma 90.00
loop_
_atom_site_label
_atom_site_type_symbol
_atom_site_fract_x
_atom_site_fract_y
_atom_site_fract_z
_atom_site_occupancy
Be1 Be 0.000 0.000 0.000 1
As1 As 0.000 0.500 0.500 1
W1 W 0.500 0.500 0.500 1
Se1 Se 0.500 0.500 0.000 1

# La2PmTm2, relaxed, DFT GGA-PBE
# - Total energy: -4.525 eV/atom
# - Formation energy from the elements: 0.185 eV/atom
# - Magnetization: 0.0 μB per cell
data_La2PmTm2
_space_group_name_H-M_alt 'C 1 2/c 1'
_space_group_IT_number 15
_cell_length_a 8.258
_cell_length_b 16.465
_cell_length_c 5.934
_cell_angle_alpha 90.00
_cell_angle_beta 120.64
_cell_angle_gamma 90.00
loop_
_space_group_symop_operation_xyz
'x,y,z'
'-x,-y,-z'
'-x,y,-z+1/2'
'x,-y,z+1/2'
'x+1/2,y+1/2,z'
'-x+1/2,-y+1/2,-z'
'-x+1/2,y+1/2,-z+1/2'
'x+1/2,-y+1/2,z+1/2'
loop_
_atom_site_label
_atom_site_type_symbol
_atom_site_fract_x
_atom_site_fract_y
_atom_site_fract_z
_atom_site_occupancy
La1 La 0.194 0.071 0.094 1
Pm1 Pm 0.000 0.401 0.250 1
Tm1 Tm 0.141 0.231 0.646 1

# Na4Tm3GaS8, relaxed, DFT GGA-PBE
# - Total energy: -4.987 eV/atom
# - Magnetization: 0.0 μB per cell
# - Formation energy (no corrections): -1.57 eV/atom
data_Na4Tm3GaS8
_space_group_name_H-M_alt 'C 1 2/m 1'
_space_group_IT_number 12
_cell_length_a 13.403
_cell_length_b 7.736
_cell_length_c 8.041
_cell_angle_alpha 90.00
_cell_angle_beta 123.76
_cell_angle_gamma 90.00
loop_
_space_group_symop_operation_xyz
'x,y,z'
'-x,-y,-z'
'-x,y,-z'
'x,-y,z'
'x+1/2,y+1/2,z'
'-x+1/2,-y+1/2,-z'
'-x+1/2,y+1/2,-z'
'x+1/2,-y+1/2,z'
loop_
_atom_site_label
_atom_site_type_symbol
_atom_site_fract_x
_atom_site_fract_y
_atom_site_fract_z
_atom_site_occupancy
Na1 Na 0.000 0.000 0.000 1
Na2 Na 0.000 0.500 0.000 1
Na3 Na 0.250 0.250 0.000 1
Tm1 Tm 0.000 0.000 0.500 1
Tm2 Tm 0.250 0.250 0.500 1
Ga1 Ga 0.000 0.500 0.500 1
S1 S 0.007 0.262 0.282 1
S2 S 0.232 0.500 0.719 1
S3 S 0.242 0.000 0.725 1

# K2AuO2, relaxed, DFT GGA-PBE
# - Total energy: -3.907 eV/atom
# - Magnetization: 0.0 μB per cell
# - Formation energy (no corrections): -0.83 eV/atom
data_K2AuO2
_space_group_name_H-M_alt 'P -1'
_space_group_IT_number 2
_cell_length_a 3.511
_cell_length_b 7.000
_cell_length_c 9.341
_cell_angle_alpha 73.98
_cell_angle_beta 79.22
_cell_angle_gamma 89.95
loop_
_space_group_symop_operation_xyz
'x,y,z'
'-x,-y,-z'
loop_
_atom_site_label
_atom_site_type_symbol
_atom_site_fract_x
_atom_site_fract_y
_atom_site_fract_z
_atom_site_occupancy
K1 K 0.062 0.343 0.377 1
K2 K 0.341 0.136 0.815 1
Au1 Au 0.275 0.639 0.948 1
O1 O 0.188 0.164 0.125 1
O2 O 0.466 0.409 0.568 1

# Tb3Sm4YS8, relaxed, DFT GGA-PBE
# - Total energy: -6.528 eV/atom
# - Magnetization: 0.0 μB per cell
# - Formation energy (no corrections): -2.01 eV/atom
data_Tb3Sm4YS8
_space_group_name_H-M_alt 'R -3 m'
_space_group_IT_number 166
_space_group_name_Hall '-R 3 2"'
_cell_length_a 7.9185
_cell_length_b 7.9185
_cell_length_c 19.5275
_cell_angle_alpha 90.00
_cell_angle_beta 90.00
_cell_angle_gamma 120.00
loop_
_atom_site_label
_atom_site_type_symbol
_atom_site_fract_x
_atom_site_fract_y
_atom_site_fract_z
_atom_site_occupancy
Tb1 Tb 0.0000 0.5000 0.0000 1
Sm1 Sm 0.0000 0.0000 0.5000 1
Sm2 Sm 0.0000 0.5000 0.5000 1
Y1 Y 0.0000 0.0000 0.0000 1
S1 S 0.0000 0.0000 0.2528 1
S2 S 0.9995 0.4998 0.2529 1

# Ta2TiRh, relaxed, DFT GGA-PBE
# - Total energy: -10.010 eV/atom
# - Formation energy from the elements: -0.272 eV/atom
# - Magnetization: 0.0 μB per cell
data_Ta2TiRh
_space_group_name_H-M_alt 'P 4/m m m'
_space_group_IT_number 123
_space_group_name_Hall '-P 4 2'
_cell_length_a 3.180
_cell_length_b 3.180
_cell_length_c 6.596
_cell_angle_alpha 90.00
_cell_angle_beta 90.00
_cell_angle_gamma 90.00
loop_
_atom_site_label
_atom_site_type_symbol
_atom_site_fract_x
_atom_site_fract_y
_atom_site_fract_z
_atom_site_occupancy
Ta1 Ta 0.000 0.000 0.246 1
Ti1 Ti 0.500 0.500 0.500 1
Rh1 Rh 0.500 0.500 0.000 1

# Tc2SbW, relaxed, DFT GGA-PBE
# - Total energy: -9.028 eV/atom
# - Magnetization: 0.0 μB per cell
# - Formation energy (no corrections): 0.42 eV/atom
data_Tc2SbW
_space_group_name_H-M_alt 'R 3 m'
_space_group_IT_number 160
_space_group_name_Hall 'R 3 -2"'
_cell_length_a 2.9731
_cell_length_b 2.9731
_cell_length_c 26.2914
_cell_angle_alpha 90.00
_cell_angle_beta 90.00
_cell_angle_gamma 120.00
loop_
_atom_site_label
_atom_site_type_symbol
_atom_site_fract_x
_atom_site_fract_y
_atom_site_fract_z
_atom_site_occupancy
Tc1 Tc 0.0000 0.0000 0.0000 1
Tc2 Tc 0.0000 0.0000 0.2552 1
Sb1 Sb 0.0000 0.0000 0.5028 1
W1 W 0.0000 0.0000 0.7461 1

# TmMg2Pb3, relaxed, DFT GGA-PBE
# - Total energy: -3.294 eV/atom
# - Formation energy from the elements: -0.163 eV/atom
# - Magnetization: 0.0 μB per cell
data_TmMg2Pb3
_space_group_name_H-M_alt 'P m c 21'
_space_group_IT_number 26
_cell_length_a 4.728
_cell_length_b 9.825
_cell_length_c 6.932
_cell_angle_alpha 90.00
_cell_angle_beta 90.00
_cell_angle_gamma 90.00
loop_
_space_group_symop_operation_xyz
'x,y,z'
'-x,-y,z+1/2'
'-x,y,z'
'x,-y,z+1/2'
loop_
_atom_site_label
_atom_site_type_symbol
_atom_site_fract_x
_atom_site_fract_y
_atom_site_fract_z
_atom_site_occupancy
Tm1 Tm 0.000 0.054 0.000 1
Mg1 Mg 0.000 0.297 0.502 1
Mg2 Mg 0.500 0.500 0.248 1
Pb1 Pb 0.000 0.397 0.998 1
Pb2 Pb 0.500 0.166 0.732 1
Pb3 Pb 0.500 0.168 0.268 1

Which value of total energy does entry 3 give? -4.987 eV/atom

Which formula does entry 5 have? Tb3Sm4YS8